Record 1
# Ac3Nd4Ru4

Ac3Nd4Ru4 after structural relaxation (GGA-PBE, Alexandria via LeMat-Bulk).

Results
formation energy from the elements	-96	meV per atom
calculated density	9.1	g cm⁻³
DFT total energy	-6.3236	eV/atom
M_tot	0.0	μB per cell
calculated volume	27.616	Å³ per atom

a = 4.195 Å, b = 8.881 Å, c = 16.308 Å
α = 90.00°, β = 90.00°, γ = 90.00°
Space group Immm (No. 71)
One atom of each set of equivalent atoms:
Ac  0.000  0.000  0.000
Ac  0.000  0.500  0.105
Nd  0.000  0.307  0.332
Ru  0.000  0.000  0.234
Ru  0.000  0.209  0.500

Record 2
# Ac5NdRu3

Ac5NdRu3 after structural relaxation (GGA-PBE, Alexandria via LeMat-Bulk).

Results
formation energy from the elements	-170	meV per atom
calculated density	8.3	g cm⁻³
DFT total energy	-6.0741	eV/atom
M_tot	0.0	μB per cell
calculated volume	35.063	Å³ per atom

a = 6.935 Å, b = 4.383 Å, c = 20.767 Å
α = 90.00°, β = 91.23°, γ = 90.00°
Space group P2/m (No. 10)
One atom of each set of equivalent atoms:
Ac  0.183  0.000  0.403
Ac  0.220  0.000  0.063
Ac  0.276  0.500  0.893
Ac  0.305  0.500  0.235
Ac  0.316  0.500  0.572
Nd  0.196  0.000  0.733
Ru  0.000  0.500  0.000
Ru  0.006  0.500  0.668
Ru  0.494  0.000  0.834
Ru  0.500  0.000  0.500

Record 3
# AcNdRu

AcNdRu after structural relaxation (GGA-PBE, Alexandria via LeMat-Bulk).

Results
formation energy from the elements	173	meV per atom
calculated density	8.9	g cm⁻³
DFT total energy	-5.8775	eV/atom
M_tot	0.0	μB per cell
calculated volume	29.386	Å³ per atom

a = 8.0929 Å, b = 8.0929 Å, c = 13.9886 Å
α = 90.00°, β = 90.00°, γ = 120.00°
Space group R32 (No. 155, hexagonal axes)
One atom of each set of equivalent atoms:
Ac  0.0000  0.0000  0.0000
Ac  0.0000  0.0000  0.3338
Nd  0.0000  0.6657  0.5000
Ru  0.0000  0.3333  0.0000

Record 4
# Ac2NdRu

Ac2NdRu after structural relaxation (GGA-PBE, Alexandria via LeMat-Bulk).

Results
formation energy from the elements	-138	meV per atom
calculated density	7.9	g cm⁻³
DFT total energy	-5.7031	eV/atom
M_tot	0.0	μB per cell
calculated volume	36.933	Å³ per atom

a = 4.284 Å, b = 5.686 Å, c = 12.130 Å
α = 90.00°, β = 90.00°, γ = 90.00°
Space group Immm (No. 71)
One atom of each set of equivalent atoms:
Ac  0.000  0.000  0.164
Nd  0.000  0.000  0.500
Ru  0.000  0.500  0.500

Copy entry 1 word for word.
# Ac3Nd4Ru4

Ac3Nd4Ru4 after structural relaxation (GGA-PBE, Alexandria via LeMat-Bulk).

Results
formation energy from the elements	-96	meV per atom
calculated density	9.1	g cm⁻³
DFT total energy	-6.3236	eV/atom
M_tot	0.0	μB per cell
calculated volume	27.616	Å³ per atom

a = 4.195 Å, b = 8.881 Å, c = 16.308 Å
α = 90.00°, β = 90.00°, γ = 90.00°
Space group Immm (No. 71)
One atom of each set of equivalent atoms:
Ac  0.000  0.000  0.000
Ac  0.000  0.500  0.105
Nd  0.000  0.307  0.332
Ru  0.000  0.000  0.234
Ru  0.000  0.209  0.500